(1)
First-principles (PBE) data for a geometry-optimized K4Na2S structure, as listed in the Alexandria database.

a = 6.122 Å, b = 6.122 Å, c = 20.511 Å
α = 90.00°, β = 90.00°, γ = 90.00°
Space group I4/mmm (No. 139)
Asymmetric unit:
K 0.000 0.000 0.149 (multiplicity 4)
K 0.000 0.500 0.000 (multiplicity 4)
Na 0.000 0.000 0.340 (multiplicity 4)
S 0.000 0.000 0.000 (multiplicity 2)

Calculated values
Energy   -0.1435 Ry/atom
Crystal system   tetragonal
E_form (uncorrected)   -0.3587 eV per atom


(2)
First-principles (PBE) data for a geometry-optimized SrLa3 structure, as listed in the Alexandria database.

a = 5.396 Å, b = 5.396 Å, c = 21.908 Å
α = 90.00°, β = 90.00°, γ = 90.00°
Space group I4/mmm (No. 139)
Asymmetric unit:
Sr 0.000 0.000 0.125 (multiplicity 4)
La 0.000 0.000 0.375 (multiplicity 4)
La 0.000 0.500 0.000 (multiplicity 4)
La 0.000 0.500 0.250 (multiplicity 4)

Calculated values
Formation energy   0.132 eV per atom
Energy   -0.2928 Ry/atom
Crystal system   tetragonal


Question: Which formula does entry 1 have?
Answer: K4Na2S